DFT (PBE) results for a relaxed structure of LaAlP2.

Properties
energy relative to the elements = -56.0 meV/atom
space group = F-43m, No. 216
volume = 82.3 Å³/f.u.
E_tot = -78.86 eV for the cell shown

Unit cell a=6.9055 b=6.9055 c=6.9055 alpha=90.00 beta=90.00 gamma=90.00
Element x y z (fractional)
La (0.0000, 0.0000, 0.0000)
La (0.0000, 0.5000, 0.5000)
La (0.5000, 0.0000, 0.5000)
La (0.5000, 0.5000, 0.0000)
Al (0.2500, 0.2500, 0.2500)
Al (0.2500, 0.7500, 0.7500)
Al (0.7500, 0.2500, 0.7500)
Al (0.7500, 0.7500, 0.2500)
P (0.0000, 0.0000, 0.5000)
P (0.0000, 0.5000, 0.0000)
P (0.2500, 0.2500, 0.7500)
P (0.2500, 0.7500, 0.2500)
P (0.5000, 0.0000, 0.0000)
P (0.5000, 0.5000, 0.5000)
P (0.7500, 0.2500, 0.2500)
P (0.7500, 0.7500, 0.7500)